# Zn2ReNi2 PBE optimized geometry
data_Zn2ReNi2
_cell_length_a 6.9932
_cell_length_b 6.9932
_cell_length_c 2.6110
_cell_angle_alpha 90.00
_cell_angle_beta 90.00
_cell_angle_gamma 90.00
_symmetry_space_group_name_H-M 'P 4/m b m'
_symmetry_Int_Tables_number 127
_symmetry_space_group_name_Hall '-P 4 2ab'
loop_
_atom_site_label
_atom_site_type_symbol
_atom_site_fract_x
_atom_site_fract_y
_atom_site_fract_z
Zn1 Zn 0.1702 0.3298 0.0000
Re1 Re 0.0000 0.0000 0.5000
Ni1 Ni 0.1268 0.6268 0.5000
# - Relative energy among the computed polymorphs: 0.061 eV/atom
# - Formation energy: 0.16 eV per atom

---

# Pm5Sm5Tm2 PBE optimized geometry
data_Pm5Sm5Tm2
_cell_length_a 15.3463
_cell_length_b 5.1073
_cell_length_c 11.4258
_cell_angle_alpha 90.00
_cell_angle_beta 116.62
_cell_angle_gamma 90.00
_symmetry_space_group_name_H-M 'C 1 2/m 1'
_symmetry_Int_Tables_number 12
_symmetry_space_group_name_Hall '-C 2y'
loop_
_atom_site_label
_atom_site_type_symbol
_atom_site_fract_x
_atom_site_fract_y
_atom_site_fract_z
Pm1 Pm 0.0000 0.0000 0.0000
Pm2 Pm 0.0823 0.0000 0.7498
Pm3 Pm 0.1669 0.0000 0.5002
Sm1 Sm 0.0000 0.5000 0.5000
Sm2 Sm 0.1659 0.5000 0.9998
Sm3 Sm 0.2483 0.0000 0.2485
Tm1 Tm 0.0837 0.5000 0.2504
# - Formation energy: 0.02 eV per atom

---

# CaIn2Pt PBE optimized geometry
data_CaIn2Pt
_cell_length_a 4.7117
_cell_length_b 4.7117
_cell_length_c 15.3093
_cell_angle_alpha 90.00
_cell_angle_beta 90.00
_cell_angle_gamma 120.00
_symmetry_space_group_name_H-M 'R 3 m'
_symmetry_Int_Tables_number 160
_symmetry_space_group_name_Hall 'R 3 -2"'
loop_
_atom_site_label
_atom_site_type_symbol
_atom_site_fract_x
_atom_site_fract_y
_atom_site_fract_z
Ca1 Ca 0.0000 0.0000 0.0000
In1 In 0.0000 0.0000 0.5554
In2 In 0.0000 0.0000 0.7865
Pt1 Pt 0.0000 0.0000 0.1909
# - Formation energy: -0.60 eV per atom

---

# Cs2HAu PBE optimized geometry
data_Cs2HAu
_cell_length_a 4.7207
_cell_length_b 4.7207
_cell_length_c 24.9994
_cell_angle_alpha 90.00
_cell_angle_beta 90.00
_cell_angle_gamma 120.00
_symmetry_space_group_name_H-M 'R 3 m'
_symmetry_Int_Tables_number 160
_symmetry_space_group_name_Hall 'R 3 -2"'
loop_
_atom_site_label
_atom_site_type_symbol
_atom_site_fract_x
_atom_site_fract_y
_atom_site_fract_z
Cs1 Cs 0.0000 0.0000 0.0000
Cs2 Cs 0.0000 0.0000 0.1901
H1 H 0.0000 0.0000 0.5951
Au1 Au 0.0000 0.0000 0.4282
# - Relative energy among the computed polymorphs: 0.017 eV/atom

---

# MgUGaO6 PBE optimized geometry
data_MgUGaO6
_cell_length_a 5.2661
_cell_length_b 5.2661
_cell_length_c 9.1289
_cell_angle_alpha 90.00
_cell_angle_beta 90.00
_cell_angle_gamma 120.00
_symmetry_space_group_name_H-M 'P -3 1 c'
_symmetry_Int_Tables_number 163
_symmetry_space_group_name_Hall '-P 3 2c'
loop_
_atom_site_label
_atom_site_type_symbol
_atom_site_fract_x
_atom_site_fract_y
_atom_site_fract_z
Mg1 Mg 0.0000 0.0000 0.0000
U1 U 0.3333 0.6667 0.2500
Ga1 Ga 0.3333 0.6667 0.7500
O1 O 0.0097 0.3459 0.6316
# - Formation energy from raw total energies: -2.285 eV per atom

---

# Tb9Pm2Pr PBE optimized geometry
data_Tb9Pm2Pr
_cell_length_a 11.3528
_cell_length_b 11.3528
_cell_length_c 3.5285
_cell_angle_alpha 90.00
_cell_angle_beta 90.00
_cell_angle_gamma 120.00
_symmetry_space_group_name_H-M 'P 6/m m m'
_symmetry_Int_Tables_number 191
_symmetry_space_group_name_Hall '-P 6 2'
loop_
_atom_site_label
_atom_site_type_symbol
_atom_site_fract_x
_atom_site_fract_y
_atom_site_fract_z
Tb1 Tb 0.0000 0.5000 0.0000
Tb2 Tb 0.1759 0.3517 0.5000
Pm1 Pm 0.3333 0.6667 0.0000
Pr1 Pr 0.0000 0.0000 0.0000
# - Relative energy among the computed polymorphs: 0.030 eV/atom
# - Formation energy: 0.05 eV per atom

---

# K4Pa3NiS8 PBE optimized geometry
data_K4Pa3NiS8
_cell_length_a 14.2019
_cell_length_b 7.7166
_cell_length_c 8.7992
_cell_angle_alpha 90.00
_cell_angle_beta 122.06
_cell_angle_gamma 90.00
_symmetry_space_group_name_H-M 'C 1 2/m 1'
_symmetry_Int_Tables_number 12
_symmetry_space_group_name_Hall '-C 2y'
loop_
_atom_site_label
_atom_site_type_symbol
_atom_site_fract_x
_atom_site_fract_y
_atom_site_fract_z
K1 K 0.0000 0.0000 0.0000
K2 K 0.0000 0.5000 0.0000
K3 K 0.2500 0.2500 0.0000
Pa1 Pa 0.0000 0.0000 0.5000
Pa2 Pa 0.2500 0.2500 0.5000
Ni1 Ni 0.0000 0.5000 0.5000
S1 S 0.0195 0.2671 0.3142
S2 S 0.2303 0.0000 0.7071
S3 S 0.2450 0.0000 0.2792
# - Formation energy from raw total energies: -1.293 eV per atom

---

# Mn3W PBE optimized geometry
data_Mn3W
_cell_length_a 4.1333
_cell_length_b 4.1333
_cell_length_c 11.7850
_cell_angle_alpha 90.00
_cell_angle_beta 90.00
_cell_angle_gamma 90.00
_symmetry_space_group_name_H-M 'I 4/m m m'
_symmetry_Int_Tables_number 139
_symmetry_space_group_name_Hall '-I 4 2'
loop_
_atom_site_label
_atom_site_type_symbol
_atom_site_fract_x
_atom_site_fract_y
_atom_site_fract_z
Mn1 Mn 0.0000 0.0000 0.1214
Mn2 Mn 0.0000 0.5000 0.0000
Mn3 Mn 0.0000 0.5000 0.2500
W1 W 0.0000 0.0000 0.3719
# - Formation energy: 0.08 eV per atom

---

| no. | D(E_F) (states/eV/atom) | DFT total energy (eV per atom) | magnetization (μB/cell) |
| --- | --- | --- | --- |
| 1 | 0.754 | -5.16 | 0.00 |
| 2 | 1.473 | -4.68 | 0.00 |
| 3 | 0.281 | -3.98 | 0.00 |
| 4 | 0.000 | -2.30 | 0.03 |
| 5 | 0.802 | -7.36 | 0.00 |
| 6 | 1.380 | -4.61 | 0.00 |
| 7 | 1.134 | -5.77 | 8.68 |
| 8 | 1.233 | -10.04 | 11.60 |